Record 1
A plane-wave DFT calculation with PBE-GGA was carried out for Pm4Zn3 after structural relaxation.

The structure in POSCAR format:
```
Pm4Zn3
1.0
0.928 -0.599 5.019
-2.378 -3.723 2.626
5.697 -6.631 0.785
Zn Pm
3 4
Cartesian
0.000 0.000 0.000 Zn
3.236 -8.257 6.309 Zn
1.012 -2.696 2.122 Zn
0.913 -6.306 6.971 Pm
-0.120 -3.592 4.855 Pm
3.335 -4.647 1.459 Pm
4.368 -7.361 3.575 Pm
```

The total DFT energy (no corrections) is -3.442 eV per atom. For the density of states at the Fermi level, the calculation gives 9.552 states/eV/cell. Its total moment is 0.00 μB per cell. For the formation energy, the calculation gives -0.18 eV/atom.

Record 2
A plane-wave DFT calculation with PBE-GGA was carried out for ZrFePb2 after structural relaxation.

The structure in POSCAR format:
```
ZrFePb2
1.0
-2.066 -2.236 -3.232
-2.387 -0.846 2.111
-3.839 4.758 -0.838
Fe Zr Pb
1 1 2
Cartesian
-5.702 1.817 -0.661 Fe
-2.589 -0.140 -1.298 Zr
-3.376 1.934 0.820 Pb
-5.962 3.935 1.089 Pb
```

The calculation puts the energy above the lowest structure with this stoichiometry at 17.41 kJ/mol of atoms. The total DFT energy (no corrections) is -5.815 eV per atom. For the density of states at the Fermi level, the calculation gives 3.711 states/eV/cell. Its total moment is 2.34 μB per cell. For the formation energy, the calculation gives 0.29 eV/atom.